# 1
Here is crystalline RbLiSb at its relaxed geometry from Alexandria. Energies are from PBE.

CIF file:
```
data_RbLiSb
_space_group_name_H-M_alt 'C m c e'
_space_group_IT_number 64
_space_group_name_Hall '-C 2ac 2'
_cell_length_a 6.858
_cell_length_b 12.826
_cell_length_c 9.408
_cell_angle_alpha 90.00
_cell_angle_beta 90.00
_cell_angle_gamma 90.00
loop_
_atom_site_label
_atom_site_type_symbol
_atom_site_fract_x
_atom_site_fract_y
_atom_site_fract_z
Rb1 Rb 0.000 0.130 0.114
Li1 Li 0.000 0.106 0.529
Sb1 Sb 0.250 0.116 0.750
```

Summary:
* formation energy without anion corrections: -255 meV/atom
* VASP energy: -2.589 eV/atom

---

# 2
Here is crystalline RbLiSb at its relaxed geometry from Alexandria. Energies are from PBE.

CIF file:
```
data_RbLiSb
_space_group_name_H-M_alt 'P -1'
_space_group_IT_number 2
_cell_length_a 4.443
_cell_length_b 5.179
_cell_length_c 12.000
_cell_angle_alpha 80.92
_cell_angle_beta 89.53
_cell_angle_gamma 64.66
loop_
_space_group_symop_operation_xyz
'x,y,z'
'-x,-y,-z'
loop_
_atom_site_label
_atom_site_type_symbol
_atom_site_fract_x
_atom_site_fract_y
_atom_site_fract_z
Rb1 Rb 0.186 0.141 0.197
Li1 Li 0.151 0.197 0.544
Sb1 Sb 0.462 0.570 0.610
```

Summary:
* formation energy without anion corrections: -409 meV/atom
* VASP energy: -2.743 eV/atom

---

# 3
Here is crystalline Rb2LiSb2 at its relaxed geometry from Alexandria. Energies are from PBE.

CIF file:
```
data_Rb2LiSb2
_space_group_name_H-M_alt 'I 4/m m m'
_space_group_IT_number 139
_space_group_name_Hall '-I 4 2'
_cell_length_a 5.235
_cell_length_b 5.235
_cell_length_c 15.567
_cell_angle_alpha 90.00
_cell_angle_beta 90.00
_cell_angle_gamma 90.00
loop_
_atom_site_label
_atom_site_type_symbol
_atom_site_fract_x
_atom_site_fract_y
_atom_site_fract_z
Rb1 Rb 0.000 0.500 0.250
Li1 Li 0.000 0.000 0.000
Sb1 Sb 0.000 0.000 0.412
```

Summary:
* formation energy without anion corrections: 6 meV/atom
* VASP energy: -2.413 eV/atom

---

# 4
Here is crystalline Rb3LiSb at its relaxed geometry from Alexandria. Energies are from PBE.

CIF file:
```
data_Rb3LiSb
_space_group_name_H-M_alt 'P m -3 m'
_space_group_IT_number 221
_space_group_name_Hall '-P 4 2 3'
_cell_length_a 7.133
_cell_length_b 7.133
_cell_length_c 7.133
_cell_angle_alpha 90.00
_cell_angle_beta 90.00
_cell_angle_gamma 90.00
loop_
_atom_site_label
_atom_site_type_symbol
_atom_site_fract_x
_atom_site_fract_y
_atom_site_fract_z
Rb1 Rb 0.000 0.000 0.500
Li1 Li 0.500 0.500 0.500
Sb1 Sb 0.000 0.000 0.000
```

Summary:
* formation energy without anion corrections: 37 meV/atom
* VASP energy: -1.751 eV/atom

---

# 5
Here is crystalline RbLiSb at its relaxed geometry from Alexandria. Energies are from PBE.

CIF file:
```
data_RbLiSb
_space_group_name_H-M_alt 'I 4 m m'
_space_group_IT_number 107
_space_group_name_Hall 'I 4 -2'
_cell_length_a 3.985
_cell_length_b 3.985
_cell_length_c 12.757
_cell_angle_alpha 90.00
_cell_angle_beta 90.00
_cell_angle_gamma 90.00
loop_
_atom_site_label
_atom_site_type_symbol
_atom_site_fract_x
_atom_site_fract_y
_atom_site_fract_z
Rb1 Rb 0.000 0.000 0.000
Li1 Li 0.000 0.000 0.259
Sb1 Sb 0.000 0.000 0.706
```

Summary:
* formation energy without anion corrections: -310 meV/atom
* VASP energy: -2.645 eV/atom

---

# 6
Here is crystalline RbLiSb at its relaxed geometry from Alexandria. Energies are from PBE.

CIF file:
```
data_RbLiSb
_space_group_name_H-M_alt 'I 4/m m m'
_space_group_IT_number 139
_space_group_name_Hall '-I 4 2'
_cell_length_a 5.083
_cell_length_b 5.083
_cell_length_c 16.180
_cell_angle_alpha 90.00
_cell_angle_beta 90.00
_cell_angle_gamma 90.00
loop_
_atom_site_label
_atom_site_type_symbol
_atom_site_fract_x
_atom_site_fract_y
_atom_site_fract_z
Rb1 Rb 0.000 0.000 0.175
Li1 Li 0.000 0.500 0.000
Sb1 Sb 0.000 0.000 0.408
```

Summary:
* formation energy without anion corrections: -427 meV/atom
* VASP energy: -2.762 eV/atom

---

| no. | size of the total moment (μB/f.u.) |
| --- | --- |
| 1 | 0.00 |
| 2 | 0.00 |
| 3 | 0.00 |
| 4 | 1.00 |
| 5 | 0.00 |
| 6 | 0.00 |